(1)
ZrSbTe2N: optimized geometry, PBE.

Lattice parameters (Å, degrees): 5.7921 5.7921 4.0153 90.00 90.00 90.00
Space group P4/mmm (No. 123)
Asymmetric unit:
Zr  0.0000  0.0000  0.0000 (multiplicity 1)
Sb  0.5000  0.5000  0.5000 (multiplicity 1)
Te  0.0000  0.5000  0.0000 (multiplicity 2)
N  0.0000  0.0000  0.5000 (multiplicity 1)

Energy above the most stable polymorph in this dataset ... 0 meV/atom
DOS(E_F) ... 3.24 states/eV/cell
Energy relative to the elements, uncorrected ... 0.04 eV/atom
V ... 26.9 A^3/atom

(2)
La6OsPd2Cl3: optimized geometry, PBE.

Lattice parameters (Å, degrees): 19.5155 4.2267 9.0712 90.00 109.24 90.00
Space group C2/m (No. 12)
Asymmetric unit:
La  0.0060  0.0000  0.2168 (multiplicity 4)
La  0.1512  0.5000  0.0985 (multiplicity 4)
La  0.1726  0.5000  0.5631 (multiplicity 4)
Os  0.0000  0.5000  0.0000 (multiplicity 2)
Pd  0.1692  0.0000  0.3391 (multiplicity 4)
Cl  0.0000  0.5000  0.5000 (multiplicity 2)
Cl  0.1654  0.0000  0.8297 (multiplicity 4)

DOS(E_F) ... 13.52 states/eV/cell
Energy relative to the elements, uncorrected ... -1.14 eV/atom
V ... 29.4 A^3/atom

(3)
K2AuF4: optimized geometry, PBE.

Lattice parameters (Å, degrees): 4.6158 4.6158 12.9755 90.00 90.00 90.00
Space group I4/mmm (No. 139)
Asymmetric unit:
K  0.0000  0.0000  0.1365 (multiplicity 4)
Au  0.0000  0.0000  0.5000 (multiplicity 2)
F  0.0000  0.0000  0.3334 (multiplicity 4)
F  0.0000  0.5000  0.0000 (multiplicity 4)

Energy above the most stable polymorph in this dataset ... 61 meV/atom
DOS(E_F) ... 3.24 states/eV/cell
Energy relative to the elements, uncorrected ... -1.93 eV/atom
V ... 19.7 A^3/atom

(4)
P2C: optimized geometry, PBE.

Lattice parameters (Å, degrees): 12.3368 2.7845 6.9250 90.00 114.08 90.00
Space group C2/m (No. 12)
Asymmetric unit:
P  0.1071  0.0000  0.0653 (multiplicity 4)
P  0.1561  0.5000  0.7012 (multiplicity 4)
C  0.1304  0.0000  0.8288 (multiplicity 4)

Energy above the most stable polymorph in this dataset ... 50 meV/atom
DOS(E_F) ... 3.13 states/eV/cell
V ... 18.1 A^3/atom
Calculated formation energy ... 0.481 eV/atom

(5)
Sn2AuS: optimized geometry, PBE.

Lattice parameters (Å, degrees): 3.8019 3.8019 22.7832 90.00 90.00 120.00
Space group R3m (No. 160, hexagonal axes)
Asymmetric unit:
Sn  0.0000  0.0000  0.0000 (multiplicity 3)
Sn  0.0000  0.0000  0.1691 (multiplicity 3)
Au  0.0000  0.0000  0.4174 (multiplicity 3)
S  0.0000  0.0000  0.5914 (multiplicity 3)

DOS(E_F) ... 5.01 states/eV/cell
Energy relative to the elements, uncorrected ... -0.17 eV/atom
V ... 23.8 A^3/atom

(6)
Ce2Pm: optimized geometry, PBE.

Lattice parameters (Å, degrees): 3.4368 3.4368 14.9303 90.00 90.00 90.00
Space group I4/mmm (No. 139)
Asymmetric unit:
Ce  0.0000  0.0000  0.1741 (multiplicity 4)
Pm  0.0000  0.0000  0.5000 (multiplicity 2)

Energy above the most stable polymorph in this dataset ... 0 meV/atom
DOS(E_F) ... 14.57 states/eV/cell
V ... 29.4 A^3/atom
Calculated formation energy ... 0.083 eV/atom

(7)
BaCu3O4: optimized geometry, PBE.

Lattice parameters (Å, degrees): 5.8871 12.3105 4.7874 90.00 90.00 90.00
Space group Cmmm (No. 65)
Asymmetric unit:
Ba  0.0000  0.0000  0.0000 (multiplicity 2)
Cu  0.0000  0.2448  0.0000 (multiplicity 4)
Cu  0.0000  0.5000  0.0000 (multiplicity 2)
O  0.2231  0.3531  0.0000 (multiplicity 8)

Energy above the most stable polymorph in this dataset ... 396 meV/atom
DOS(E_F) ... 7.31 states/eV/cell
Energy relative to the elements, uncorrected ... -0.71 eV/atom
V ... 21.7 A^3/atom

(8)
Ba2TaRu: optimized geometry, PBE.

Lattice parameters (Å, degrees): 3.5185 3.8731 19.3848 90.00 90.00 90.00
Space group Immm (No. 71)
Asymmetric unit:
Ba  0.0000  0.0000  0.1479 (multiplicity 4)
Ta  0.0000  0.5000  0.0000 (multiplicity 2)
Ru  0.0000  0.5000  0.5000 (multiplicity 2)

Energy above the most stable polymorph in this dataset ... 141 meV/atom
DOS(E_F) ... 8.40 states/eV/cell
V ... 33.0 A^3/atom
Calculated formation energy ... 0.404 eV/atom

(9)
BaCe2InAs4: optimized geometry, PBE.

Lattice parameters (Å, degrees): 4.3465 14.7259 14.6522 90.00 90.00 90.00
Space group Cmcm (No. 63)
Asymmetric unit:
Ba  0.0000  0.1206  0.2500 (multiplicity 4)
Ce  0.0000  0.3714  0.0542 (multiplicity 8)
In  0.0000  0.1514  0.7500 (multiplicity 4)
As  0.0000  0.0000  0.0000 (multiplicity 4)
As  0.0000  0.2609  0.6091 (multiplicity 8)
As  0.0000  0.4523  0.2500 (multiplicity 4)

DOS(E_F) ... 33.97 states/eV/cell
V ... 29.3 A^3/atom
Calculated formation energy ... -1.016 eV/atom

(10)
BaAcHg3: optimized geometry, PBE.

Lattice parameters (Å, degrees): 4.2051 30.8569 5.1926 90.00 90.00 90.00
Space group Cmcm (No. 63)
Asymmetric unit:
Ba  0.0000  0.0747  0.2500 (multiplicity 4)
Ac  0.0000  0.2075  0.7500 (multiplicity 4)
Hg  0.0000  0.3198  0.7500 (multiplicity 4)
Hg  0.0000  0.3784  0.2500 (multiplicity 4)
Hg  0.0000  0.4755  0.2500 (multiplicity 4)

DOS(E_F) ... 17.30 states/eV/cell
V ... 33.7 A^3/atom
Calculated formation energy ... -0.474 eV/atom

(11)
CrRe2Se: optimized geometry, PBE.

Lattice parameters (Å, degrees): 2.9283 3.9425 5.1868 90.00 90.00 90.00
Space group Pmm2 (No. 25)
Asymmetric unit:
Cr  0.0000  0.0000  0.0000 (multiplicity 1)
Re  0.0000  0.0000  0.5015 (multiplicity 1)
Re  0.5000  0.5000  0.2992 (multiplicity 1)
Se  0.5000  0.5000  0.8073 (multiplicity 1)

Energy above the most stable polymorph in this dataset ... 237 meV/atom
DOS(E_F) ... 3.02 states/eV/cell
Energy relative to the elements, uncorrected ... 0.45 eV/atom
V ... 15.0 A^3/atom

(12)
CaLaAg: optimized geometry, PBE.

Lattice parameters (Å, degrees): 7.4044 7.4044 7.4044 90.00 90.00 90.00
Space group F-43m (No. 216)
Asymmetric unit:
Ca  0.0000  0.0000  0.0000 (multiplicity 4)
La  0.0000  0.0000  0.5000 (multiplicity 4)
Ag  0.2500  0.2500  0.7500 (multiplicity 4)

Energy above the most stable polymorph in this dataset ... 108 meV/atom
DOS(E_F) ... 18.45 states/eV/cell
V ... 33.8 A^3/atom
Calculated formation energy ... -0.044 eV/atom

(13)
Rb3Ce2TlSe6: optimized geometry, PBE.

Lattice parameters (Å, degrees): 7.7399 13.3758 8.2934 90.00 108.19 90.00
Space group C2/m (No. 12)
Asymmetric unit:
Rb  0.0000  0.0000  0.0000 (multiplicity 2)
Rb  0.0000  0.3455  0.0000 (multiplicity 4)
Ce  0.0000  0.1678  0.5000 (multiplicity 4)
Tl  0.0000  0.5000  0.5000 (multiplicity 2)
Se  0.1964  0.0000  0.6955 (multiplicity 4)
Se  0.2467  0.1856  0.3000 (multiplicity 8)

Energy relative to the elements, uncorrected ... -1.39 eV/atom
V ... 34.0 A^3/atom

(14)
AlCdSiBi2: optimized geometry, PBE.

Lattice parameters (Å, degrees): 5.7097 5.7097 4.9116 90.00 90.00 90.00
Space group P4/mmm (No. 123)
Asymmetric unit:
Al  0.0000  0.0000  0.0000 (multiplicity 1)
Cd  0.0000  0.0000  0.5000 (multiplicity 1)
Si  0.5000  0.5000  0.0000 (multiplicity 1)
Bi  0.0000  0.5000  0.5000 (multiplicity 2)

DOS(E_F) ... 4.39 states/eV/cell
Energy relative to the elements, uncorrected ... 0.98 eV/atom
V ... 32.0 A^3/atom

(15)
ZnPd3Pt2: optimized geometry, PBE.

Lattice parameters (Å, degrees): 5.3638 9.0755 15.2019 90.00 90.00 90.00
Space group Fmmm (No. 69)
Asymmetric unit:
Zn  0.0000  0.0000  0.1554 (multiplicity 8)
Pd  0.0000  0.0000  0.3198 (multiplicity 8)
Pd  0.0000  0.2477  0.4137 (multiplicity 16)
Pt  0.2476  0.0000  0.5000 (multiplicity 8)
Pt  0.2500  0.2500  0.2500 (multiplicity 8)

Energy above the most stable polymorph in this dataset ... 0 meV/atom
DOS(E_F) ... 61.40 states/eV/cell
V ... 15.4 A^3/atom
Calculated formation energy ... -0.138 eV/atom

(16)
YCd2Cl: optimized geometry, PBE.

Lattice parameters (Å, degrees): 3.5922 5.4702 5.5037 90.00 90.00 90.00
Space group Pmmm (No. 47)
Asymmetric unit:
Y  0.0000  0.0000  0.0000 (multiplicity 1)
Cd  0.5000  0.2483  0.5000 (multiplicity 2)
Cl  0.0000  0.5000  0.0000 (multiplicity 1)

Energy above the most stable polymorph in this dataset ... 160 meV/atom
DOS(E_F) ... 2.37 states/eV/cell
Energy relative to the elements, uncorrected ... -0.49 eV/atom
V ... 27.0 A^3/atom

(17)
Pm12Nd2Tm5: optimized geometry, PBE.

Lattice parameters (Å, degrees): 16.1818 9.9319 11.4746 90.00 134.80 90.00
Space group C2/m (No. 12)
Asymmetric unit:
Pm  0.0983  0.2425  0.4014 (multiplicity 8)
Pm  0.1886  0.5000  0.2945 (multiplicity 4)
Pm  0.2000  0.2446  0.8026 (multiplicity 8)
Pm  0.2061  0.0000  0.3026 (multiplicity 4)
Nd  0.0000  0.2492  0.0000 (multiplicity 4)
Tm  0.0000  0.5000  0.5000 (multiplicity 2)
Tm  0.0982  0.5000  0.8917 (multiplicity 4)
Tm  0.1069  0.0000  0.9176 (multiplicity 4)

Energy above the most stable polymorph in this dataset ... 0 meV/atom
DOS(E_F) ... 51.58 states/eV/cell
V ... 34.4 A^3/atom
Calculated formation energy ... 0.100 eV/atom

(18)
CeFeGe3: optimized geometry, PBE.

Lattice parameters (Å, degrees): 4.2871 4.2871 9.9319 90.00 90.00 90.00
Space group I4mm (No. 107)
Asymmetric unit:
Ce  0.0000  0.0000  0.0000 (multiplicity 2)
Fe  0.0000  0.0000  0.6717 (multiplicity 2)
Ge  0.0000  0.0000  0.4443 (multiplicity 2)
Ge  0.0000  0.5000  0.2627 (multiplicity 4)

DOS(E_F) ... 7.30 states/eV/cell
V ... 18.3 A^3/atom
Calculated formation energy ... -0.509 eV/atom

(19)
Tm3Ag2Hg6: optimized geometry, PBE.

Lattice parameters (Å, degrees): 4.1617 4.1617 31.6384 90.00 90.00 90.00
Space group I4/mmm (No. 139)
Asymmetric unit:
Tm  0.0000  0.0000  0.0000 (multiplicity 2)
Tm  0.0000  0.0000  0.1733 (multiplicity 4)
Ag  0.0000  0.0000  0.3589 (multiplicity 4)
Hg  0.0000  0.0000  0.2711 (multiplicity 4)
Hg  0.0000  0.5000  0.0733 (multiplicity 8)

DOS(E_F) ... 15.52 states/eV/cell
V ... 24.9 A^3/atom
Calculated formation energy ... -0.144 eV/atom

(20)
Ta2NbNi: optimized geometry, PBE.

Lattice parameters (Å, degrees): 4.4650 4.4650 3.2954 90.00 90.00 90.00
Space group P4/mmm (No. 123)
Asymmetric unit:
Ta  0.0000  0.5000  0.0000 (multiplicity 2)
Nb  0.0000  0.0000  0.5000 (multiplicity 1)
Ni  0.5000  0.5000  0.5000 (multiplicity 1)

DOS(E_F) ... 3.90 states/eV/cell
V ... 16.4 A^3/atom
Calculated formation energy ... -0.038 eV/atom